# 1
First-principles (PBE) data for a relaxed ScCu2PbCl crystal, as listed in Alexandria.

Results
uncorrected energy	-18.3	eV/f.u.
E_form (uncorrected)	358.1	meV/atom
total moment	0.09	μB per formula unit

Lattice parameters (Å, degrees): 4.8373 4.8373 5.7264 90.00 90.00 90.00
Last column: magnetic moment on the atom in μB.
Fractional positions:
Pb1 0.0000 0.0000 0.0000  0.00
Sc1 0.0000 0.0000 0.5000  0.07
Cu1 0.0000 0.5000 0.0000  0.00
Cu2 0.5000 0.0000 0.0000  0.00
Cl1 0.5000 0.5000 0.5000  0.00


# 2
First-principles (PBE) data for a relaxed Hf3BiN crystal, as listed in Alexandria.

Results
uncorrected energy	-45.6	eV/f.u.
E_form (uncorrected)	-707.2	meV/atom
total moment	0.00	μB per formula unit

Lattice parameters (Å, degrees): 3.2663 8.0267 8.3852 116.68 90.00 90.00
Fractional positions:
Hf1 0.7500 0.6263 0.3636
Hf2 0.2500 0.3737 0.6364
Hf3 0.7500 0.3234 0.9441
Hf4 0.2500 0.0021 0.6530
Hf5 0.2500 0.6766 0.0559
Hf6 0.7500 0.9979 0.3470
Bi1 0.2500 0.2443 0.2199
Bi2 0.7500 0.7557 0.7801
N1 0.2500 0.8138 0.3607
N2 0.7500 0.1862 0.6393


# 3
First-principles (PBE) data for a relaxed TiCrP2S crystal, as listed in Alexandria.

Results
energy relative to the lowest polymorph listed for this composition	0	meV per atom
uncorrected energy	-31.1	eV/f.u.
E_form (uncorrected)	277.1	meV/atom
total moment	3.88	μB per formula unit

Lattice parameters (Å, degrees): 4.7101 4.7101 4.6180 90.00 90.00 90.00
Last column: magnetic moment on the atom in μB.
Fractional positions:
Cr1 0.5000 0.5000 0.5000  4.02
S1 0.0000 0.0000 0.5000  -0.09
P1 0.0000 0.5000 0.0000  -0.14
P2 0.5000 0.0000 0.0000  -0.14
Ti1 0.0000 0.0000 0.0000  0.09


# 4
First-principles (PBE) data for a relaxed CuAg2Au2 crystal, as listed in Alexandria.

Results
energy relative to the lowest polymorph listed for this composition	100	meV per atom
ΔE_f	0.223	eV per atom
uncorrected energy	-15.2	eV/f.u.
total moment	0.00	μB per formula unit

Lattice parameters (Å, degrees): 6.7635 6.7635 4.0213 90.00 90.00 90.00
Fractional positions:
Au1 0.1583 0.6583 0.5000
Au2 0.6583 0.8417 0.5000
Au3 0.8417 0.3417 0.5000
Au4 0.3417 0.1583 0.5000
Cu1 0.0000 0.0000 0.0000
Cu2 0.5000 0.5000 0.0000
Ag1 0.3553 0.8553 0.0000
Ag2 0.8553 0.6447 0.0000
Ag3 0.6447 0.1447 0.0000
Ag4 0.1447 0.3553 0.0000


# 5
First-principles (PBE) data for a relaxed TiCrSb2Os crystal, as listed in Alexandria.

Results
uncorrected energy	-31.9	eV/f.u.
E_form (uncorrected)	1019.2	meV/atom
total moment	2.37	μB per formula unit

Lattice parameters (Å, degrees): 4.9211 4.5107 4.9211 90.00 90.00 90.00
Last column: magnetic moment on the atom in μB.
Fractional positions:
Sb1 0.0000 0.0000 0.5000  -0.04
Sb2 0.5000 0.0000 0.0000  -0.03
Ti1 0.5000 0.5000 0.5000  1.25
Os1 0.0000 0.5000 0.0000  -0.27
Cr1 0.0000 0.0000 0.0000  1.13


# 6
First-principles (PBE) data for a relaxed HoTmHgPt crystal, as listed in Alexandria.

Results
energy relative to the lowest polymorph listed for this composition	44	meV per atom
ΔE_f	-0.843	eV per atom
uncorrected energy	-18.8	eV/f.u.
total moment	0.00	μB per formula unit

Lattice parameters (Å, degrees): 5.0488 5.0488 5.0488 60.00 60.00 60.00
Fractional positions:
Tm1 0.5000 0.5000 0.5000
Hg1 0.2500 0.2500 0.2500
Pt1 0.7500 0.7500 0.7500
Ho1 0.0000 0.0000 0.0000


# 7
First-principles (PBE) data for a relaxed AsOs2Au crystal, as listed in Alexandria.

Results
ΔE_f	0.513	eV per atom
uncorrected energy	-28.3	eV/f.u.
total moment	0.00	μB per formula unit

Lattice parameters (Å, degrees): 8.6973 8.6973 8.6973 19.20 19.20 19.20
Fractional positions:
Os1 0.9898 0.9898 0.9898
Os2 0.5102 0.5102 0.5102
As1 0.2500 0.2500 0.2500
Au1 0.7500 0.7500 0.7500


# 8
First-principles (PBE) data for a relaxed Cs2RbAsSe4 crystal, as listed in Alexandria.

Results
uncorrected energy	-26.9	eV/f.u.
E_form (uncorrected)	-710.8	meV/atom
total moment	0.00	μB per formula unit

Lattice parameters (Å, degrees): 7.6060 8.1177 13.8821 82.63 74.10 62.06
Fractional positions:
Cs1 0.1892 0.0000 0.6216
Cs2 0.8108 0.0000 0.3784
Cs3 0.5608 0.5000 0.8784
Cs4 0.9392 0.5000 0.1216
Rb1 0.7500 0.5000 0.5000
Rb2 0.0000 0.0000 0.0000
As1 0.2500 0.5000 0.5000
As2 0.5000 0.0000 0.0000
Se1 0.3843 0.7993 0.1063
Se2 0.2899 0.2007 0.8937
Se3 0.8164 0.7993 0.8937
Se4 0.5094 0.2007 0.1063
Se5 0.3657 0.7007 0.3937
Se6 0.4601 0.2993 0.6063
Se7 0.9336 0.7007 0.6063
Se8 0.2406 0.2993 0.3937


# 9
First-principles (PBE) data for a relaxed Ho2InRu crystal, as listed in Alexandria.

Results
energy relative to the lowest polymorph listed for this composition	0	meV per atom
ΔE_f	-0.482	eV per atom
uncorrected energy	-23.1	eV/f.u.
total moment	0.00	μB per formula unit

Lattice parameters (Å, degrees): 3.4421 3.4421 7.7804 90.00 90.00 90.00
Fractional positions:
Ru1 0.5000 0.5000 0.0000
Ho1 0.0000 0.0000 0.7888
Ho2 0.0000 0.0000 0.2112
In1 0.5000 0.5000 0.5000


# 10
First-principles (PBE) data for a relaxed ZrPb2Br crystal, as listed in Alexandria.

Results
energy relative to the lowest polymorph listed for this composition	353	meV per atom
uncorrected energy	-17.6	eV/f.u.
E_form (uncorrected)	10.9	meV/atom
total moment	0.00	μB per formula unit

Lattice parameters (Å, degrees): 10.2824 10.2824 10.2824 19.77 19.77 19.77
Fractional positions:
Pb1 0.9999 0.9999 0.9999
Pb2 0.5001 0.5001 0.5001
Br1 0.7500 0.7500 0.7500
Zr1 0.2500 0.2500 0.2500


# 11
First-principles (PBE) data for a relaxed Li2HgOs crystal, as listed in Alexandria.

Results
ΔE_f	0.270	eV per atom
uncorrected energy	-14.3	eV/f.u.
total moment	0.00	μB per formula unit

Lattice parameters (Å, degrees): 5.3964 5.3964 5.3964 149.47 127.07 62.34
Fractional positions:
Hg1 0.2500 0.7500 0.5000
Li1 0.9964 0.9964 0.0000
Li2 0.5036 0.5036 0.0000
Os1 0.7500 0.2500 0.5000


# 12
First-principles (PBE) data for a relaxed Mg2PW crystal, as listed in Alexandria.

Results
ΔE_f	0.300	eV per atom
uncorrected energy	-20.4	eV/f.u.
total moment	0.00	μB per formula unit

Lattice parameters (Å, degrees): 5.0097 5.0097 5.0097 134.13 134.13 66.89
Fractional positions:
Mg1 0.0000 0.0000 0.0000
Mg2 0.2500 0.7500 0.5000
P1 0.5000 0.5000 0.0000
W1 0.7500 0.2500 0.5000


# 13
First-principles (PBE) data for a relaxed Dy5Er12Mg2 crystal, as listed in Alexandria.

Results
ΔE_f	0.102	eV per atom
uncorrected energy	-79.0	eV/f.u.
total moment	0.00	μB per formula unit

Lattice parameters (Å, degrees): 9.0808 9.0355 8.2418 90.43 90.00 120.17
Fractional positions:
Dy1 0.2352 0.4704 0.5788
Dy2 0.3003 0.6006 0.9921
Dy3 0.0000 0.0000 0.5000
Dy4 0.6997 0.3994 0.0079
Dy5 0.7648 0.5296 0.4212
Er1 0.9120 0.8239 0.1083
Er2 0.0317 0.6947 0.7556
Er3 0.6630 0.6947 0.7556
Er4 0.1809 0.7497 0.3338
Er5 0.5688 0.7497 0.3338
Er6 0.4433 0.8867 0.6685
Er7 0.5567 0.1133 0.3315
Er8 0.8191 0.2503 0.6662
Er9 0.4312 0.2503 0.6662
Er10 0.9683 0.3053 0.2444
Er11 0.3370 0.3053 0.2444
Er12 0.0880 0.1761 0.8917
Mg1 0.6737 0.0000 0.0000
Mg2 0.3263 0.0000 0.0000